1.
A plane-wave DFT calculation with PBE was carried out for a geometry-optimized NiSeS2 structure.

D(E_F) in states/eV/f.u.: 1.6
Energy relative to the elements, uncorrected in eV per atom: -0.11

```
data_NiSeS2
_symmetry_space_group_name_H-M 'P 1 m 1'
_symmetry_Int_Tables_number 6
_symmetry_space_group_name_Hall 'P -2y'
_cell_length_a 6.074
_cell_length_b 3.389
_cell_length_c 7.776
_cell_angle_alpha 90.00
_cell_angle_beta 102.62
_cell_angle_gamma 90.00
loop_
_atom_site_label
_atom_site_type_symbol
_atom_site_fract_x
_atom_site_fract_y
_atom_site_fract_z
_atom_site_occupancy
Ni1 Ni 0.000 0.000 0.000 1
Ni2 Ni 0.500 0.500 0.000 1
Se1 Se 0.213 0.500 0.449 1
Se2 Se 0.790 0.500 0.551 1
S1 S 0.199 0.500 0.169 1
S2 S 0.290 0.000 0.861 1
S3 S 0.710 0.000 0.140 1
S4 S 0.801 0.500 0.831 1
```

2.
A plane-wave DFT calculation with PBE was carried out for a geometry-optimized Ac6AsS12 structure.

D(E_F) in states/eV/f.u.: 15.4
Energy relative to the elements, uncorrected in eV per atom: -1.61

```
data_Ac6AsS12
_symmetry_space_group_name_H-M 'R -3'
_symmetry_Int_Tables_number 148
_symmetry_space_group_name_Hall '-R 3'
_cell_length_a 12.5829
_cell_length_b 12.5829
_cell_length_c 12.1393
_cell_angle_alpha 90.00
_cell_angle_beta 90.00
_cell_angle_gamma 120.00
loop_
_atom_site_label
_atom_site_type_symbol
_atom_site_fract_x
_atom_site_fract_y
_atom_site_fract_z
_atom_site_occupancy
Ac1 Ac 0.0552 0.2699 0.1473 1
As1 As 0.0000 0.0000 0.5000 1
S1 S 0.0414 0.2253 0.9043 1
S2 S 0.0563 0.1894 0.3920 1
```

3.
A plane-wave DFT calculation with PBE was carried out for a geometry-optimized Mo2RuPt structure.

D(E_F) in states/eV/f.u.: 2.9
Formation energy from the elements in meV/atom: -197
Offset from the most stable computed form in eV per atom: 0.001

```
data_Mo2RuPt
_symmetry_space_group_name_H-M 'P 4/m m m'
_symmetry_Int_Tables_number 123
_symmetry_space_group_name_Hall '-P 4 2'
_cell_length_a 3.918
_cell_length_b 3.918
_cell_length_c 3.938
_cell_angle_alpha 90.00
_cell_angle_beta 90.00
_cell_angle_gamma 90.00
loop_
_atom_site_label
_atom_site_type_symbol
_atom_site_fract_x
_atom_site_fract_y
_atom_site_fract_z
_atom_site_occupancy
Mo1 Mo 0.000 0.500 0.000 1
Ru1 Ru 0.000 0.000 0.500 1
Pt1 Pt 0.500 0.500 0.500 1
```

4.
A plane-wave DFT calculation with PBE was carried out for a geometry-optimized Ac4PuN5 structure.

D(E_F) in states/eV/f.u.: 10.9
Energy relative to the elements, uncorrected in eV per atom: -1.06

```
data_Ac4PuN5
_symmetry_space_group_name_H-M 'I 4'
_symmetry_Int_Tables_number 79
_symmetry_space_group_name_Hall 'I 4'
_cell_length_a 8.432
_cell_length_b 8.432
_cell_length_c 5.589
_cell_angle_alpha 90.00
_cell_angle_beta 90.00
_cell_angle_gamma 90.00
loop_
_atom_site_label
_atom_site_type_symbol
_atom_site_fract_x
_atom_site_fract_y
_atom_site_fract_z
_atom_site_occupancy
Ac1 Ac 0.103 0.702 0.000 1
Pu1 Pu 0.000 0.000 0.513 1
N1 N 0.000 0.000 0.902 1
N2 N 0.091 0.725 0.481 1
```

5.
A plane-wave DFT calculation with PBE was carried out for a geometry-optimized CuMo2Pt structure.

D(E_F) in states/eV/f.u.: 4.4
Formation energy from the elements in meV/atom: 138
Offset from the most stable computed form in eV per atom: 0.192

```
data_CuMo2Pt
_symmetry_space_group_name_H-M 'F -4 3 m'
_symmetry_Int_Tables_number 216
_symmetry_space_group_name_Hall 'F -4 2 3'
_cell_length_a 6.223
_cell_length_b 6.223
_cell_length_c 6.223
_cell_angle_alpha 90.00
_cell_angle_beta 90.00
_cell_angle_gamma 90.00
loop_
_atom_site_label
_atom_site_type_symbol
_atom_site_fract_x
_atom_site_fract_y
_atom_site_fract_z
_atom_site_occupancy
Cu1 Cu 0.000 0.000 0.000 1
Mo1 Mo 0.000 0.000 0.500 1
Mo2 Mo 0.250 0.250 0.750 1
Pt1 Pt 0.250 0.250 0.250 1
```

6.
A plane-wave DFT calculation with PBE was carried out for a geometry-optimized YPaRh2 structure.

D(E_F) in states/eV/f.u.: 6.3
Formation energy from the elements in meV/atom: -662
Offset from the most stable computed form in eV per atom: 0.209

```
data_YPaRh2
_symmetry_space_group_name_H-M 'F m -3 m'
_symmetry_Int_Tables_number 225
_symmetry_space_group_name_Hall '-F 4 2 3'
_cell_length_a 6.897
_cell_length_b 6.897
_cell_length_c 6.897
_cell_angle_alpha 90.00
_cell_angle_beta 90.00
_cell_angle_gamma 90.00
loop_
_atom_site_label
_atom_site_type_symbol
_atom_site_fract_x
_atom_site_fract_y
_atom_site_fract_z
_atom_site_occupancy
Y1 Y 0.000 0.000 0.000 1
Pa1 Pa 0.000 0.000 0.500 1
Rh1 Rh 0.250 0.250 0.250 1
```

7.
A plane-wave DFT calculation with PBE was carried out for a geometry-optimized MgRe2Mo structure.

D(E_F) in states/eV/f.u.: 2.6
Formation energy from the elements in meV/atom: 304

```
data_MgRe2Mo
_symmetry_space_group_name_H-M 'P m m 2'
_symmetry_Int_Tables_number 25
_symmetry_space_group_name_Hall 'P 2 -2'
_cell_length_a 2.738
_cell_length_b 4.258
_cell_length_c 5.345
_cell_angle_alpha 90.00
_cell_angle_beta 90.00
_cell_angle_gamma 90.00
loop_
_atom_site_label
_atom_site_type_symbol
_atom_site_fract_x
_atom_site_fract_y
_atom_site_fract_z
_atom_site_occupancy
Mg1 Mg 0.000 0.000 0.000 1
Re1 Re 0.000 0.000 0.505 1
Re2 Re 0.500 0.500 0.742 1
Mo1 Mo 0.500 0.500 0.248 1
```

8.
A plane-wave DFT calculation with PBE was carried out for a geometry-optimized NaVSb2I structure.

D(E_F) in states/eV/f.u.: 2.5
Offset from the most stable computed form in eV per atom: 0.000
Energy relative to the elements, uncorrected in eV per atom: -0.04

```
data_NaVSb2I
_symmetry_space_group_name_H-M 'P 4/m m m'
_symmetry_Int_Tables_number 123
_symmetry_space_group_name_Hall '-P 4 2'
_cell_length_a 5.066
_cell_length_b 5.066
_cell_length_c 6.388
_cell_angle_alpha 90.00
_cell_angle_beta 90.00
_cell_angle_gamma 90.00
loop_
_atom_site_label
_atom_site_type_symbol
_atom_site_fract_x
_atom_site_fract_y
_atom_site_fract_z
_atom_site_occupancy
Na1 Na 0.000 0.000 0.000 1
V1 V 0.500 0.500 0.500 1
Sb1 Sb 0.000 0.500 0.500 1
I1 I 0.500 0.500 0.000 1
```

9.
A plane-wave DFT calculation with PBE was carried out for a geometry-optimized Cs4LiPa3S8 structure.

D(E_F) in states/eV/f.u.: 17.5
Energy relative to the elements, uncorrected in eV per atom: -1.44

```
data_Cs4LiPa3S8
_symmetry_space_group_name_H-M 'R -3 m'
_symmetry_Int_Tables_number 166
_symmetry_space_group_name_Hall '-R 3 2"'
_cell_length_a 8.2302
_cell_length_b 8.2302
_cell_length_c 24.2351
_cell_angle_alpha 90.00
_cell_angle_beta 90.00
_cell_angle_gamma 120.00
loop_
_atom_site_label
_atom_site_type_symbol
_atom_site_fract_x
_atom_site_fract_y
_atom_site_fract_z
_atom_site_occupancy
Cs1 Cs 0.0000 0.0000 0.0000 1
Cs2 Cs 0.0000 0.5000 0.0000 1
Li1 Li 0.0000 0.0000 0.5000 1
Pa1 Pa 0.0000 0.5000 0.5000 1
S1 S 0.0000 0.0000 0.2276 1
S2 S 0.0120 0.5060 0.7732 1
```

10.
A plane-wave DFT calculation with PBE was carried out for a geometry-optimized Tb4Dy5Tl structure.

D(E_F) in states/eV/f.u.: 14.4
Formation energy from the elements in meV/atom: 136
Offset from the most stable computed form in eV per atom: 0.094

```
data_Tb4Dy5Tl
_symmetry_space_group_name_H-M 'I 4 m m'
_symmetry_Int_Tables_number 107
_symmetry_space_group_name_Hall 'I 4 -2'
_cell_length_a 10.612
_cell_length_b 10.612
_cell_length_c 5.809
_cell_angle_alpha 90.00
_cell_angle_beta 90.00
_cell_angle_gamma 90.00
loop_
_atom_site_label
_atom_site_type_symbol
_atom_site_fract_x
_atom_site_fract_y
_atom_site_fract_z
_atom_site_occupancy
Tb1 Tb 0.000 0.316 0.000 1
Dy1 Dy 0.000 0.000 0.200 1
Dy2 Dy 0.186 0.186 0.491 1
Tl1 Tl 0.000 0.000 0.719 1
```

11.
A plane-wave DFT calculation with PBE was carried out for a geometry-optimized Be3In structure.

D(E_F) in states/eV/f.u.: 1.4
Formation energy from the elements in meV/atom: 580
Offset from the most stable computed form in eV per atom: 0.347

```
data_Be3In
_symmetry_space_group_name_H-M 'P m -3 m'
_symmetry_Int_Tables_number 221
_symmetry_space_group_name_Hall '-P 4 2 3'
_cell_length_a 3.710
_cell_length_b 3.710
_cell_length_c 3.710
_cell_angle_alpha 90.00
_cell_angle_beta 90.00
_cell_angle_gamma 90.00
loop_
_atom_site_label
_atom_site_type_symbol
_atom_site_fract_x
_atom_site_fract_y
_atom_site_fract_z
_atom_site_occupancy
Be1 Be 0.000 0.000 0.500 1
In1 In 0.500 0.500 0.500 1
```

12.
A plane-wave DFT calculation with PBE was carried out for a geometry-optimized Nd3Bi5Se12 structure.

Energy relative to the elements, uncorrected in eV per atom: -0.81

```
data_Nd3Bi5Se12
_symmetry_space_group_name_H-M 'I a -3 d'
_symmetry_Int_Tables_number 230
_symmetry_space_group_name_Hall '-I 4bd 2c 3'
_cell_length_a 17.316
_cell_length_b 17.316
_cell_length_c 17.316
_cell_angle_alpha 90.00
_cell_angle_beta 90.00
_cell_angle_gamma 90.00
loop_
_atom_site_label
_atom_site_type_symbol
_atom_site_fract_x
_atom_site_fract_y
_atom_site_fract_z
_atom_site_occupancy
Nd1 Nd 0.000 0.250 0.125 1
Bi1 Bi 0.000 0.000 0.000 1
Bi2 Bi 0.000 0.250 0.375 1
Se1 Se 0.015 0.070 0.654 1
```

13.
A plane-wave DFT calculation with PBE was carried out for a geometry-optimized BaAlIr2 structure.

D(E_F) in states/eV/f.u.: 3.6
Formation energy from the elements in meV/atom: 305
Offset from the most stable computed form in eV per atom: 0.688

```
data_BaAlIr2
_symmetry_space_group_name_H-M 'I m m m'
_symmetry_Int_Tables_number 71
_symmetry_space_group_name_Hall '-I 2 2'
_cell_length_a 4.039
_cell_length_b 5.655
_cell_length_c 7.597
_cell_angle_alpha 90.00
_cell_angle_beta 90.00
_cell_angle_gamma 90.00
loop_
_atom_site_label
_atom_site_type_symbol
_atom_site_fract_x
_atom_site_fract_y
_atom_site_fract_z
_atom_site_occupancy
Ba1 Ba 0.000 0.000 0.000 1
Al1 Al 0.000 0.000 0.500 1
Ir1 Ir 0.000 0.500 0.193 1
```

14.
A plane-wave DFT calculation with PBE was carried out for a geometry-optimized RbNaCoOs2 structure.

D(E_F) in states/eV/f.u.: 5.6
Formation energy from the elements in meV/atom: 3272

```
data_RbNaCoOs2
_symmetry_space_group_name_H-M 'P 4/m m m'
_symmetry_Int_Tables_number 123
_symmetry_space_group_name_Hall '-P 4 2'
_cell_length_a 4.863
_cell_length_b 4.863
_cell_length_c 4.769
_cell_angle_alpha 90.00
_cell_angle_beta 90.00
_cell_angle_gamma 90.00
loop_
_atom_site_label
_atom_site_type_symbol
_atom_site_fract_x
_atom_site_fract_y
_atom_site_fract_z
_atom_site_occupancy
Rb1 Rb 0.000 0.000 0.000 1
Na1 Na 0.000 0.000 0.500 1
Co1 Co 0.500 0.500 0.500 1
Os1 Os 0.000 0.500 0.000 1
```

15.
A plane-wave DFT calculation with PBE was carried out for a geometry-optimized SnH3Pb structure.

D(E_F) in states/eV/f.u.: 1.5
Offset from the most stable computed form in eV per atom: 0.141

```
data_SnH3Pb
_symmetry_space_group_name_H-M 'P m -3 m'
_symmetry_Int_Tables_number 221
_symmetry_space_group_name_Hall '-P 4 2 3'
_cell_length_a 4.276
_cell_length_b 4.276
_cell_length_c 4.276
_cell_angle_alpha 90.00
_cell_angle_beta 90.00
_cell_angle_gamma 90.00
loop_
_atom_site_label
_atom_site_type_symbol
_atom_site_fract_x
_atom_site_fract_y
_atom_site_fract_z
_atom_site_occupancy
Sn1 Sn 0.000 0.000 0.000 1
H1 H 0.000 0.500 0.500 1
Pb1 Pb 0.500 0.500 0.500 1
```

16.
A plane-wave DFT calculation with PBE was carried out for a geometry-optimized Li4BeZn structure.

D(E_F) in states/eV/f.u.: 3.0
Formation energy from the elements in meV/atom: 269

```
data_Li4BeZn
_symmetry_space_group_name_H-M 'F -4 3 m'
_symmetry_Int_Tables_number 216
_symmetry_space_group_name_Hall 'F -4 2 3'
_cell_length_a 6.961
_cell_length_b 6.961
_cell_length_c 6.961
_cell_angle_alpha 90.00
_cell_angle_beta 90.00
_cell_angle_gamma 90.00
loop_
_atom_site_label
_atom_site_type_symbol
_atom_site_fract_x
_atom_site_fract_y
_atom_site_fract_z
_atom_site_occupancy
Li1 Li 0.125 0.125 0.125 1
Be1 Be 0.000 0.000 0.500 1
Zn1 Zn 0.250 0.250 0.750 1
```

17.
A plane-wave DFT calculation with PBE was carried out for a geometry-optimized YAgIr structure.

D(E_F) in states/eV/f.u.: 1.2
Formation energy from the elements in meV/atom: -253
Offset from the most stable computed form in eV per atom: 0.003

```
data_YAgIr
_symmetry_space_group_name_H-M 'P -6 m 2'
_symmetry_Int_Tables_number 187
_symmetry_space_group_name_Hall 'P -6 2'
_cell_length_a 4.6119
_cell_length_b 4.6119
_cell_length_c 3.3383
_cell_angle_alpha 90.00
_cell_angle_beta 90.00
_cell_angle_gamma 120.00
loop_
_atom_site_label
_atom_site_type_symbol
_atom_site_fract_x
_atom_site_fract_y
_atom_site_fract_z
_atom_site_occupancy
Y1 Y 0.0000 0.0000 0.0000 1
Ag1 Ag 0.3333 0.6667 0.5000 1
Ir1 Ir 0.6667 0.3333 0.5000 1
```